Computed, not measured: an optimized crystal structure of In2MoAs at the PBE level of DFT.

Cell lengths 3.763, 4.859, 4.421 Å; angles 90.00, 90.00, 90.00 degrees
Atoms (fractional coordinates):
Mo 0.500 0.000 0.500
As 0.000 0.500 0.500
In 0.000 0.000 0.000
In 0.500 0.500 0.000

Computed properties:
ΔE_f   0.49 eV/atom
Fermi-level density of states   2.558 states/eV/f.u.
ρ   8.2 g/cm3